Density functional theory data (PBE-GGA) for EuGa2Ru after structural relaxation.

```
EuGa2Ru
1.0
2.127 1.228 5.371
-2.127 1.228 5.371
0.000 -2.457 5.371
Eu Ga Ru
1 2 1
direct
0.000 0.000 0.000
0.209 0.209 0.209
0.791 0.791 0.791
0.500 0.500 0.500
```

Results
Crystal system: trigonal
Formation energy from the elements: -0.38 eV/atom
Space-group type: R-3m, No. 166
Calculated total energy: -6.784 eV/atom
Total magnetization: 7.12 μB per formula unit